## KPuZn2F8 (PBE)

Data for KPuZn2F8 after structural relaxation.

The structure in POSCAR format:
```
KPuZn2F8
1.0
-2.8265 4.9882 -1.7534
-3.3826 3.0553 3.8947
2.6730 5.9226 2.2900
K Pu Zn F
1 1 2 8
Cartesian
-1.7681 6.9831 2.2157
0.0000 0.0000 0.0000
-0.8522 3.5133 1.1184
-2.6840 10.4529 3.3129
0.6751 4.5572 1.6260
-2.1821 4.7916 0.5260
-4.2113 9.4090 2.8053
-4.2069 7.5416 0.9630
0.6707 6.4246 3.4684
-3.6188 5.4014 3.5948
0.0826 8.5648 0.8366
-1.3541 9.1745 3.9053
```

## Properties
crystal system: trigonal
SG: No. 148
density of states at the Fermi level: 10.6 states/eV per cell
VASP energy: -5.495 eV/atom
formation energy without anion corrections: -2.749 eV/atom

## PuHAu (PBE)

Data for PuHAu after structural relaxation.

The structure in POSCAR format:
```
PuHAu
1.0
-2.4068 3.4623 -1.0441
0.7580 -0.5930 -3.7139
-3.0659 -1.6432 1.6183
H Au Pu
1 1 1
Cartesian
-2.9970 0.4413 -0.6822
-2.4058 3.4608 -1.0437
-1.7187 0.7862 -2.4580
```

## Properties
crystal system: trigonal
SG: No. 156
density of states at the Fermi level: 10.3 states/eV per cell
E above lowest polymorph: 0.466 eV per formula unit
VASP energy: -7.238 eV/atom

## SiTePt2 (PBE)

Data for SiTePt2 after structural relaxation.

The structure in POSCAR format:
```
SiTePt2
1.0
-1.1754 3.4331 5.0263
-0.6951 -0.2428 6.1554
2.3935 1.9627 5.3712
Pt Si Te
2 1 1
Cartesian
0.5096 5.0212 16.1297
0.2749 2.7082 8.6997
0.1307 1.2882 4.1382
0.3922 3.8647 12.4147
```

## Properties
crystal system: trigonal
SG: No. 166
density of states at the Fermi level: 1.3 states/eV per cell
E above lowest polymorph: 0.000 eV per formula unit
VASP energy: -5.550 eV/atom
formation energy without anion corrections: -0.389 eV/atom

## Pu4InGa3 (PBE)

Data for Pu4InGa3 after structural relaxation.

The structure in POSCAR format:
```
Pu4InGa3
1.0
-0.0306 1.7215 -3.1202
3.8376 -3.0233 -1.7057
-6.9670 -6.7736 -3.6690
In Ga Pu
1 3 4
Cartesian
1.9035 -0.6509 -2.4129
-1.7611 -0.8365 -2.4795
-1.5800 -4.0377 -4.2474
-5.2365 -4.2155 -4.3097
-3.4835 -3.3868 -1.8345
-3.1985 -6.4868 -3.5477
0.0000 0.0000 0.0000
0.0690 -3.3101 -1.8270
```

## Properties
crystal system: orthorhombic
SG: No. 47
energy relative to the elements: -0.20 eV/atom
density of states at the Fermi level: 26.1 states/eV per cell
VASP energy: -8.840 eV/atom

## Y2AgIrO (PBE)

Data for Y2AgIrO after structural relaxation.

The structure in POSCAR format:
```
Y2AgIrO
1.0
5.5181 0.0000 0.0000
0.0000 3.8321 0.0000
0.0000 0.0000 5.5181
Y Ir O Ag
2 1 1 1
Cartesian
0.0000 0.0000 2.7590
2.7590 0.0000 0.0000
0.0000 0.0000 0.0000
0.0000 1.9161 0.0000
2.7590 1.9161 2.7590
```

## Properties
crystal system: tetragonal
SG: No. 123
density of states at the Fermi level: 3.9 states/eV per cell
VASP energy: -6.263 eV/atom
formation energy without anion corrections: -0.344 eV/atom

## LaCoCu2 (PBE)

Data for LaCoCu2 after structural relaxation.

The structure in POSCAR format:
```
LaCoCu2
1.0
4.8773 -0.0231 -0.0285
1.2366 4.7180 0.0285
-2.7823 -2.7051 2.9548
Co Cu La
1 2 1
Cartesian
0.6524 2.1009 1.4916
0.0691 0.0530 0.0000
2.6629 -0.1236 1.4631
3.0042 2.3070 0.0000
```

## Properties
crystal system: orthorhombic
SG: No. 44
energy relative to the elements: 0.20 eV/atom
density of states at the Fermi level: 2.9 states/eV per cell
VASP energy: -4.859 eV/atom

## Nb2SbRh (PBE)

Data for Nb2SbRh after structural relaxation.

The structure in POSCAR format:
```
Nb2SbRh
1.0
-0.1259 7.2562 1.6745
-7.2380 0.2746 -1.7341
-4.3425 3.1405 2.6284
Sb Nb Rh
2 4 2
Cartesian
0.0000 0.0000 0.0000
-4.0752 7.0811 2.1365
-2.0656 5.1574 1.4414
-5.6286 2.0610 -0.1719
-6.2151 5.1869 1.9018
-9.5036 8.9374 1.9662
-3.6819 3.7654 -0.0298
-7.6313 3.5903 0.4322
```

## Properties
crystal system: tetragonal
SG: No. 122
density of states at the Fermi level: 7.2 states/eV per cell
VASP energy: -7.822 eV/atom
formation energy without anion corrections: 0.081 eV/atom

## PuCuIr2 (PBE)

Data for PuCuIr2 after structural relaxation.

The structure in POSCAR format:
```
PuCuIr2
1.0
3.8527 0.0000 0.0000
0.0000 4.1179 0.0000
0.0000 0.0000 4.1179
Ir Cu Pu
2 1 1
Cartesian
0.0000 0.0000 2.0590
0.0000 2.0590 0.0000
1.9263 2.0590 2.0590
1.9263 0.0000 0.0000
```

## Properties
crystal system: tetragonal
SG: No. 123
energy relative to the elements: -0.25 eV/atom
density of states at the Fermi level: 8.1 states/eV per cell
E above lowest polymorph: 0.000 eV per formula unit
VASP energy: -9.286 eV/atom

## Ta3RhN (PBE)

Data for Ta3RhN after structural relaxation.

The structure in POSCAR format:
```
Ta3RhN
1.0
4.7702 0.0000 0.0000
0.0000 4.7702 0.0000
0.0000 0.0000 4.7702
N Rh Ta
1 1 3
Cartesian
2.3851 2.3851 2.3851
0.0000 0.0000 0.0000
0.0000 2.3851 0.0000
0.0000 0.0000 2.3851
2.3851 0.0000 0.0000
```

## Properties
crystal system: cubic
SG: No. 221
density of states at the Fermi level: 11.8 states/eV per cell
VASP energy: -8.083 eV/atom
formation energy without anion corrections: 2.164 eV/atom

## Ba2Hg2Bi (PBE)

Data for Ba2Hg2Bi after structural relaxation.

The structure in POSCAR format:
```
Ba2Hg2Bi
1.0
7.5531 2.0499 4.0281
4.4200 6.4587 4.0281
2.2694 1.6127 6.6541
Ba Hg Bi
2 2 1
Cartesian
10.1911 7.2422 11.0296
4.0514 2.8791 3.6806
5.9122 4.2014 6.7368
8.3304 5.9199 7.9735
0.0000 0.0000 0.0000
```

## Properties
crystal system: monoclinic
SG: No. 12
energy relative to the elements: -0.56 eV/atom
density of states at the Fermi level: 3.2 states/eV per cell
E above lowest polymorph: 0.232 eV per formula unit
VASP energy: -2.227 eV/atom

## Nd2Tm5Th2 (PBE)

Data for Nd2Tm5Th2 after structural relaxation.

The structure in POSCAR format:
```
Nd2Tm5Th2
1.0
-4.8625 -5.2558 9.4334
-0.5450 -5.6524 -3.4301
9.4540 3.3897 -0.6724
Nd Tm Th
4 10 4
Cartesian
1.4069 -3.6366 -1.3059
2.5836 -4.4628 6.2843
-0.7551 -3.4418 5.1322
4.7456 -4.6576 -0.1538
7.0924 -1.7456 -0.9224
-3.2729 -8.1270 4.8247
7.4378 1.1593 0.6514
-3.0733 -5.3796 6.6811
0.8629 -1.2481 3.1486
3.2880 -5.1875 2.8395
0.3825 -4.2990 1.8368
3.7684 -2.1367 4.1512
4.3138 -2.0624 -2.4686
-0.1625 -4.3691 8.4592
-0.0058 -0.0600 -0.0364
-2.7095 -5.5140 2.9653
3.3066 -1.5812 0.8767
0.6377 -6.9977 3.8108
```

## Properties
crystal system: orthorhombic
SG: No. 46
energy relative to the elements: 0.24 eV/atom
density of states at the Fermi level: 27.1 states/eV per cell
E above lowest polymorph: 0.000 eV per formula unit
VASP energy: -4.954 eV/atom

## LaTmO3 (PBE)

Data for LaTmO3 after structural relaxation.

The structure in POSCAR format:
```
LaTmO3
1.0
4.1239 0.0000 0.0000
0.0000 5.9336 0.0000
0.0000 -2.9668 6.3779
La Tm O
2 2 6
Cartesian
0.0000 2.9668 2.0185
0.0000 0.0000 4.3594
2.0619 0.0000 1.5356
2.0619 2.9668 4.8422
2.0619 1.5693 0.0000
0.0000 2.9668 4.2568
2.0619 4.3643 0.0000
2.0619 1.4834 3.1889
0.0000 0.0000 2.1210
2.0619 -1.4834 3.1889
```

## Properties
crystal system: orthorhombic
SG: No. 65
density of states at the Fermi level: 0.0 states/eV per cell
VASP energy: -8.066 eV/atom
formation energy without anion corrections: -3.211 eV/atom

## Re3Te5 (PBE)

Data for Re3Te5 after structural relaxation.

The structure in POSCAR format:
```
Re3Te5
1.0
-6.6411 3.8288 0.4070
3.6502 0.1035 6.7523
1.7145 3.0773 -0.9740
Re Te
3 5
Cartesian
-1.4954 1.9662 3.5797
-2.1998 4.0701 2.1298
0.9234 2.9395 4.0555
0.0000 0.0000 0.0000
1.8251 0.0518 3.3762
-3.3205 1.9144 0.2035
0.0363 2.6180 1.4781
-1.3127 4.3916 4.7073
```

## Properties
crystal system: orthorhombic
SG: No. 65
density of states at the Fermi level: 7.3 states/eV per cell
E above lowest polymorph: 1.556 eV per formula unit
VASP energy: -5.867 eV/atom
formation energy without anion corrections: 0.765 eV/atom

## Sm2Ge4Rh5 (PBE)

Data for Sm2Ge4Rh5 after structural relaxation.

The structure in POSCAR format:
```
Sm2Ge4Rh5
1.0
5.6910 0.0000 0.0000
2.8455 4.8399 0.0000
2.8455 0.0000 7.3397
Sm Ge Rh
2 4 5
Cartesian
5.6910 0.0000 1.8644
2.8455 0.0000 5.4754
5.6910 1.5077 5.4208
5.6910 3.3322 1.9189
2.8455 1.5077 1.9189
8.5365 3.3322 5.4208
2.8455 0.0000 0.0000
1.4227 2.4199 0.0000
4.2682 2.4199 0.0000
4.2682 2.4199 3.6699
7.1137 2.4199 3.6699
```

## Properties
crystal system: orthorhombic
SG: No. 69
energy relative to the elements: -0.78 eV/atom
density of states at the Fermi level: 4.1 states/eV per cell
VASP energy: -6.663 eV/atom

## Sn2AsSe (PBE)

Data for Sn2AsSe after structural relaxation.

The structure in POSCAR format:
```
Sn2AsSe
1.0
4.0382 0.0000 0.0000
2.0191 3.4972 0.0000
2.0191 1.1657 7.6228
Sn As Se
2 1 1
Cartesian
2.0191 1.1657 5.7181
2.0191 1.1657 1.5685
4.0382 2.3314 0.0477
4.0382 2.3314 4.1000
```

## Properties
crystal system: trigonal
SG: No. 160
density of states at the Fermi level: 2.1 states/eV per cell
E above lowest polymorph: 0.199 eV per formula unit
VASP energy: -4.208 eV/atom
formation energy without anion corrections: -0.173 eV/atom

## Sc2TaAu (PBE)

Data for Sc2TaAu after structural relaxation.

The structure in POSCAR format:
```
Sc2TaAu
1.0
9.5943 -0.0023 -0.0014
9.0754 3.1126 -0.0014
9.0754 1.5119 2.7208
Au Sc Ta
1 2 1
Cartesian
20.8089 3.4666 2.0385
0.0483 0.0081 0.0047
13.8242 2.3030 1.3543
6.9363 1.1555 0.6795
```

## Properties
crystal system: trigonal
SG: No. 166
energy relative to the elements: -0.11 eV/atom
density of states at the Fermi level: 5.4 states/eV per cell
E above lowest polymorph: 0.764 eV per formula unit
VASP energy: -7.055 eV/atom

## Li5AgAu8 (PBE)

Data for Li5AgAu8 after structural relaxation.

The structure in POSCAR format:
```
Li5AgAu8
1.0
-4.3663 5.1117 -0.9204
-3.3864 -5.5531 1.9330
4.4847 1.7048 4.7982
Li Ag Au
5 1 8
Cartesian
-0.7553 -1.5196 1.2724
-5.8849 -0.2230 1.9936
-2.5339 1.5611 3.8432
0.0592 3.4082 1.9389
2.6381 2.7084 4.5123
0.5787 -0.2200 4.3350
-2.7941 -3.2463 1.7060
-1.2480 5.4601 2.4576
-2.6203 2.9770 1.4504
-0.1422 2.6617 4.5858
-3.1060 -0.2566 1.8744
-1.9590 -0.6855 5.3506
-0.5349 0.9985 2.1073
-0.6675 -2.8552 3.7109
```

## Properties
crystal system: tetragonal
SG: No. 82
energy relative to the elements: -0.30 eV/atom
density of states at the Fermi level: 5.0 states/eV per cell
VASP energy: -3.061 eV/atom

## Ga8Co2Rh (PBE)

Data for Ga8Co2Rh after structural relaxation.

The structure in POSCAR format:
```
Ga8Co2Rh
1.0
4.7250 -0.3820 -0.2898
-0.5188 6.5591 0.8176
-0.5188 2.5535 6.0967
Ga Co Rh
8 2 1
Cartesian
1.1730 4.3598 5.3829
2.5144 2.3726 3.8750
-0.1159 7.2398 5.4933
3.8033 1.4908 1.1312
1.1730 6.3580 2.7494
2.5144 4.3708 1.2416
3.3611 4.9612 3.7644
0.3262 3.7694 2.8601
2.1950 6.6017 5.0091
1.4924 2.1289 1.6153
0.0000 0.0000 0.0000
```

## Properties
crystal system: monoclinic
SG: No. 12
energy relative to the elements: -0.14 eV/atom
density of states at the Fermi level: 5.5 states/eV per cell
VASP energy: -4.306 eV/atom

## Pm12PrHo6 (PBE)

Data for Pm12PrHo6 after structural relaxation.

The structure in POSCAR format:
```
Pm12PrHo6
1.0
-2.4055 0.7856 8.4509
0.8488 -8.7729 -0.3701
8.5148 2.1650 0.7952
Pm Pr Ho
12 1 6
Cartesian
2.6377 -0.4399 6.7186
2.2375 0.3239 3.2500
0.1493 -2.6555 2.9326
3.8341 -3.5425 8.0288
6.8087 -3.1668 5.9434
4.7205 -6.1462 5.6260
1.4971 -5.7390 4.1367
6.3023 -2.5545 2.4587
4.3204 -5.3824 2.1574
5.4610 -0.0833 4.7393
0.6557 -3.2678 6.4173
3.1240 -2.2797 0.8472
0.0000 0.0000 0.0000
5.7898 -0.3172 8.2016
1.4851 -6.4593 7.5472
7.6172 -5.6847 3.2483
5.4730 0.6370 1.3288
1.1682 -5.5050 0.6744
-0.6592 -0.1376 5.6277
```

## Properties
crystal system: trigonal
SG: No. 166
energy relative to the elements: 0.20 eV/atom
density of states at the Fermi level: 37.5 states/eV per cell
E above lowest polymorph: 1.121 eV per formula unit
VASP energy: -4.502 eV/atom

## CsCrCl3 (PBE)

Data for CsCrCl3 after structural relaxation.

The structure in POSCAR format:
```
CsCrCl3
1.0
7.4123 0.0025 -0.0531
3.7626 6.3863 -0.0531
0.0846 0.0484 6.3348
Cs Cr Cl
2 2 6
Cartesian
3.7673 2.1538 4.7504
7.4922 4.2833 1.4781
0.0423 0.0242 3.1674
0.0000 0.0000 0.0000
5.7636 1.0014 1.3950
7.4725 1.9784 4.8335
5.4959 5.4357 4.8335
3.7870 4.4588 1.3950
9.4642 5.4107 4.3307
1.7953 1.0264 1.8978
```

## Properties
crystal system: monoclinic
SG: No. 12
density of states at the Fermi level: 2.6 states/eV per cell
E above lowest polymorph: 0.000 eV per formula unit
VASP energy: -4.603 eV/atom
formation energy without anion corrections: -1.399 eV/atom

## AcZn2GaNi4 (PBE)

Data for AcZn2GaNi4 after structural relaxation.

The structure in POSCAR format:
```
AcZn2GaNi4
1.0
-1.5066 -2.1675 -3.1342
2.2792 -0.6145 -3.3494
3.4463 -8.2148 1.3457
Ac Zn Ga Ni
1 2 1 4
Cartesian
0.0000 0.0000 0.0000
3.0163 -7.9095 -4.0161
1.2027 -3.0873 -1.1218
2.1095 -5.4984 -2.5689
2.9785 -7.4843 -1.6133
2.0529 -5.7079 -5.0755
2.1660 -5.2888 -0.0624
1.2405 -3.5124 -3.5246
```

## Properties
crystal system: trigonal
SG: No. 166
energy relative to the elements: -0.28 eV/atom
density of states at the Fermi level: 4.1 states/eV per cell
VASP energy: -4.383 eV/atom

## La2ScSn2 (PBE)

Data for La2ScSn2 after structural relaxation.

The structure in POSCAR format:
```
La2ScSn2
1.0
7.9630 0.0000 0.0000
0.0000 7.9630 0.0000
0.0000 0.0000 4.7885
Sc Sn La
2 4 4
Cartesian
0.0000 0.0000 0.0000
3.9815 3.9815 0.0000
2.9223 6.9038 0.0000
6.9038 5.0407 0.0000
5.0407 1.0592 0.0000
1.0592 2.9223 0.0000
1.3725 5.3540 2.3942
5.3540 6.5905 2.3942
6.5905 2.6090 2.3942
2.6090 1.3725 2.3942
```

## Properties
crystal system: tetragonal
SG: No. 127
energy relative to the elements: -0.72 eV/atom
density of states at the Fermi level: 11.4 states/eV per cell
E above lowest polymorph: 0.000 eV per formula unit
VASP energy: -5.560 eV/atom

## Mn2CuOs (PBE)

Data for Mn2CuOs after structural relaxation.

The structure in POSCAR format:
```
Mn2CuOs
1.0
6.6490 0.0000 0.0000
0.0000 6.6490 0.0000
3.3245 3.3245 2.5583
Mn Os Cu
4 2 2
Cartesian
5.0128 1.6623 0.6396
1.6363 4.9868 0.6396
4.9868 4.9608 1.9187
8.3113 8.3373 1.9187
0.0000 0.0000 0.0000
6.6490 3.3245 1.2791
3.3245 3.3245 0.0000
3.3245 6.6490 1.2791
```

## Properties
crystal system: tetragonal
SG: No. 122
energy relative to the elements: 0.74 eV/atom
density of states at the Fermi level: 12.2 states/eV per cell
VASP energy: -7.674 eV/atom

## LiAc2BPd6 (PBE)

Data for LiAc2BPd6 after structural relaxation.

The structure in POSCAR format:
```
LiAc2BPd6
1.0
-5.3535 1.0962 -2.3001
-0.5019 -6.8843 -2.1332
-4.9297 -5.0951 1.3937
Li Ac B Pd
1 2 1 6
Cartesian
0.0000 0.0000 0.0000
-6.7060 -3.8199 -1.5042
-4.0790 -7.0634 -1.5353
-2.9277 -2.8941 -2.2166
-3.8392 -3.6163 -0.4370
-9.2410 -9.0573 -2.0328
-6.4963 -9.6215 -0.8516
-4.2887 -1.2618 -2.1879
-1.5441 -1.8260 -1.0067
-6.9459 -7.2669 -2.6025
```

## Properties
crystal system: monoclinic
SG: No. 12
energy relative to the elements: -0.63 eV/atom
density of states at the Fermi level: 4.4 states/eV per cell
VASP energy: -5.430 eV/atom